Entry 1:
# meta-GGA SCAN KTc2Br, single point on PBEsol structure
# **Energy relative to the lowest polymorph listed for this composition**: 0.000 eV/atom
# **ΔE_f (raw)**: 1.04 eV per atom
# **Final energy**: -23.43 eV/atom
# **Calculated density**: 6.67 g/cm³
# **Size of the total moment**: 1.56 μB per formula unit
data_KTc2Br
_space_group_name_H-M_alt 'C 1 2/m 1'
_space_group_IT_number 12
_space_group_name_Hall '-C 2y'
_cell_length_a 5.3501
_cell_length_b 11.4145
_cell_length_c 3.1981
_cell_angle_alpha 90.00
_cell_angle_beta 126.53
_cell_angle_gamma 90.00
loop_
_atom_site_label
_atom_site_type_symbol
_atom_site_fract_x
_atom_site_fract_y
_atom_site_fract_z
K1 K 0.0000 0.0000 0.0000
Tc1 Tc 0.2500 0.2500 0.0000
Br1 Br 0.0000 0.5000 0.0000

***

Entry 2:
# meta-GGA SCAN K2TcBr6, single point on PBEsol structure
# **ΔE_f (raw)**: -1.22 eV per atom
# **Final energy**: -19.94 eV/atom
# **Calculated density**: 4.03 g/cm³
# **Size of the total moment**: 3.02 μB per formula unit
data_K2TcBr6
_space_group_name_H-M_alt 'F m -3 m'
_space_group_IT_number 225
_space_group_name_Hall '-F 4 2 3'
_cell_length_a 10.2649
_cell_length_b 10.2649
_cell_length_c 10.2649
_cell_angle_alpha 90.00
_cell_angle_beta 90.00
_cell_angle_gamma 90.00
loop_
_atom_site_label
_atom_site_type_symbol
_atom_site_fract_x
_atom_site_fract_y
_atom_site_fract_z
K1 K 0.2500 0.2500 0.2500
Tc1 Tc 0.0000 0.0000 0.0000
Br1 Br 0.0000 0.0000 0.2431

***

Entry 3:
# meta-GGA SCAN KTe2Br, single point on PBEsol structure
# **Energy relative to the lowest polymorph listed for this composition**: 0.710 eV/atom
# **ΔE_f (raw)**: -0.09 eV per atom
# **Final energy**: -25.67 eV/atom
# **Calculated density**: 4.82 g/cm³
# **Size of the total moment**: 0.00 μB per formula unit
data_KTe2Br
_space_group_name_H-M_alt 'R -3 m'
_space_group_IT_number 166
_space_group_name_Hall '-R 3 2"'
_cell_length_a 3.7202
_cell_length_b 3.7202
_cell_length_c 32.2440
_cell_angle_alpha 90.00
_cell_angle_beta 90.00
_cell_angle_gamma 120.00
loop_
_atom_site_label
_atom_site_type_symbol
_atom_site_fract_x
_atom_site_fract_y
_atom_site_fract_z
K1 K 0.0000 0.0000 0.0000
Te1 Te 0.0000 0.0000 0.4160
Br1 Br 0.0000 0.0000 0.5000

***

Entry 4:
# meta-GGA SCAN KTe2Br, single point on PBEsol structure
# **Energy relative to the lowest polymorph listed for this composition**: 0.000 eV/atom
# **ΔE_f (raw)**: -0.80 eV per atom
# **Final energy**: -26.38 eV/atom
# **Calculated density**: 4.53 g/cm³
# **Size of the total moment**: 0.00 μB per formula unit
data_KTe2Br
_space_group_name_H-M_alt 'I 4/m m m'
_space_group_IT_number 139
_space_group_name_Hall '-I 4 2'
_cell_length_a 4.2860
_cell_length_b 4.2860
_cell_length_c 14.9325
_cell_angle_alpha 90.00
_cell_angle_beta 90.00
_cell_angle_gamma 90.00
loop_
_atom_site_label
_atom_site_type_symbol
_atom_site_fract_x
_atom_site_fract_y
_atom_site_fract_z
K1 K 0.0000 0.0000 0.0000
Te1 Te 0.0000 0.5000 0.2500
Br1 Br 0.0000 0.0000 0.5000

***

Entry 5:
# meta-GGA SCAN KTlTeBr2, single point on PBEsol structure
# **ΔE_f (raw)**: -0.34 eV per atom
# **Final energy**: -31.71 eV/atom
# **Calculated density**: 4.10 g/cm³
# **Size of the total moment**: 2.00 μB per formula unit
data_KTlTeBr2
_space_group_name_H-M_alt 'P 4/m m m'
_space_group_IT_number 123
_space_group_name_Hall '-P 4 2'
_cell_length_a 5.9080
_cell_length_b 5.9080
_cell_length_c 6.1576
_cell_angle_alpha 90.00
_cell_angle_beta 90.00
_cell_angle_gamma 90.00
loop_
_atom_site_label
_atom_site_type_symbol
_atom_site_fract_x
_atom_site_fract_y
_atom_site_fract_z
K1 K 0.0000 0.0000 0.0000
Tl1 Tl 0.5000 0.5000 0.5000
Te1 Te 0.0000 0.0000 0.5000
Br1 Br 0.0000 0.5000 0.0000

***

Entry 6:
# meta-GGA SCAN KTlBr2, single point on PBEsol structure
# **Energy relative to the lowest polymorph listed for this composition**: 0.274 eV/atom
# **ΔE_f (raw)**: -1.15 eV per atom
# **Final energy**: -31.05 eV/atom
# **Calculated density**: 3.54 g/cm³
# **Size of the total moment**: 0.00 μB per formula unit
data_KTlBr2
_space_group_name_H-M_alt 'R -3 m'
_space_group_IT_number 166
_space_group_name_Hall '-R 3 2"'
_cell_length_a 4.8464
_cell_length_b 4.8464
_cell_length_c 27.9269
_cell_angle_alpha 90.00
_cell_angle_beta 90.00
_cell_angle_gamma 120.00
loop_
_atom_site_label
_atom_site_type_symbol
_atom_site_fract_x
_atom_site_fract_y
_atom_site_fract_z
K1 K 0.0000 0.0000 0.0000
Tl1 Tl 0.0000 0.0000 0.5000
Br1 Br 0.0000 0.0000 0.3944

***

Entry 7:
# meta-GGA SCAN K2TlBr, single point on PBEsol structure
# **ΔE_f (raw)**: -0.70 eV per atom
# **Final energy**: -27.82 eV/atom
# **Calculated density**: 4.06 g/cm³
# **Size of the total moment**: 0.00 μB per formula unit
data_K2TlBr
_space_group_name_H-M_alt 'I -4 m 2'
_space_group_IT_number 119
_space_group_name_Hall 'I -4 -2'
_cell_length_a 4.8147
_cell_length_b 4.8147
_cell_length_c 12.8004
_cell_angle_alpha 90.00
_cell_angle_beta 90.00
_cell_angle_gamma 90.00
loop_
_atom_site_label
_atom_site_type_symbol
_atom_site_fract_x
_atom_site_fract_y
_atom_site_fract_z
K1 K 0.0000 0.0000 0.0000
K2 K 0.0000 0.5000 0.2500
Tl1 Tl 0.0000 0.0000 0.5000
Br1 Br 0.0000 0.5000 0.7500

***

Entry 8:
# meta-GGA SCAN KTlBr, single point on PBEsol structure
# **ΔE_f (raw)**: -0.86 eV per atom
# **Final energy**: -34.24 eV/atom
# **Calculated density**: 5.01 g/cm³
# **Size of the total moment**: 0.00 μB per formula unit
data_KTlBr
_space_group_name_H-M_alt 'I m m 2'
_space_group_IT_number 44
_space_group_name_Hall 'I 2 -2'
_cell_length_a 4.1391
_cell_length_b 4.2282
_cell_length_c 12.2594
_cell_angle_alpha 90.00
_cell_angle_beta 90.00
_cell_angle_gamma 90.00
loop_
_atom_site_label
_atom_site_type_symbol
_atom_site_fract_x
_atom_site_fract_y
_atom_site_fract_z
K1 K 0.0000 0.0000 0.0000
Tl1 Tl 0.0000 0.0000 0.6865
Br1 Br 0.0000 0.0000 0.4236

***

Entry 9:
# meta-GGA SCAN KTlBr2, single point on PBEsol structure
# **Energy relative to the lowest polymorph listed for this composition**: 0.000 eV/atom
# **ΔE_f (raw)**: -1.43 eV per atom
# **Final energy**: -31.33 eV/atom
# **Calculated density**: 4.81 g/cm³
# **Size of the total moment**: 0.00 μB per formula unit
data_KTlBr2
_space_group_name_H-M_alt 'P 4 m m'
_space_group_IT_number 99
_space_group_name_Hall 'P 4 -2'
_cell_length_a 4.6203
_cell_length_b 4.6203
_cell_length_c 6.5221
_cell_angle_alpha 90.00
_cell_angle_beta 90.00
_cell_angle_gamma 90.00
loop_
_atom_site_label
_atom_site_type_symbol
_atom_site_fract_x
_atom_site_fract_y
_atom_site_fract_z
K1 K 0.0000 0.0000 0.0000
Tl1 Tl 0.5000 0.5000 0.4991
Br1 Br 0.0000 0.0000 0.4997
Br2 Br 0.5000 0.5000 0.9995

***

Entry 10:
# meta-GGA SCAN KTlBr2, single point on PBEsol structure
# **Energy relative to the lowest polymorph listed for this composition**: 0.046 eV/atom
# **ΔE_f (raw)**: -1.38 eV per atom
# **Final energy**: -31.28 eV/atom
# **Calculated density**: 4.87 g/cm³
# **Size of the total moment**: 0.00 μB per formula unit
data_KTlBr2
_space_group_name_H-M_alt 'I m m 2'
_space_group_IT_number 44
_space_group_name_Hall 'I 2 -2'
_cell_length_a 4.2123
_cell_length_b 4.2257
_cell_length_c 15.4604
_cell_angle_alpha 90.00
_cell_angle_beta 90.00
_cell_angle_gamma 90.00
loop_
_atom_site_label
_atom_site_type_symbol
_atom_site_fract_x
_atom_site_fract_y
_atom_site_fract_z
K1 K 0.0000 0.0000 0.0000
Tl1 Tl 0.0000 0.5000 0.7482
Br1 Br 0.0000 0.0000 0.5846
Br2 Br 0.0000 0.5000 0.3363

***

Entry 11:
# meta-GGA SCAN KTlBr2, single point on PBEsol structure
# **Energy relative to the lowest polymorph listed for this composition**: 0.019 eV/atom
# **ΔE_f (raw)**: -1.41 eV per atom
# **Final energy**: -31.31 eV/atom
# **Calculated density**: 5.20 g/cm³
# **Size of the total moment**: 0.00 μB per formula unit
data_KTlBr2
_space_group_name_H-M_alt 'A m m 2'
_space_group_IT_number 38
_space_group_name_Hall 'A 2 -2'
_cell_length_a 5.0381
_cell_length_b 4.1981
_cell_length_c 12.1810
_cell_angle_alpha 90.00
_cell_angle_beta 90.00
_cell_angle_gamma 90.00
loop_
_atom_site_label
_atom_site_type_symbol
_atom_site_fract_x
_atom_site_fract_y
_atom_site_fract_z
K1 K 0.0000 0.0000 0.0000
Tl1 Tl 0.5000 0.0000 0.2307
Br1 Br 0.0000 0.0000 0.7329
Br2 Br 0.5000 0.0000 0.4814

***

Entry 12:
# meta-GGA SCAN KTlBr2, single point on PBEsol structure
# **Energy relative to the lowest polymorph listed for this composition**: 0.146 eV/atom
# **ΔE_f (raw)**: -1.28 eV per atom
# **Final energy**: -31.18 eV/atom
# **Calculated density**: 3.46 g/cm³
# **Size of the total moment**: 0.00 μB per formula unit
data_KTlBr2
_space_group_name_H-M_alt 'I -4 2 d'
_space_group_IT_number 122
_space_group_name_Hall 'I -4 2bw'
_cell_length_a 7.2231
_cell_length_b 7.2231
_cell_length_c 14.8405
_cell_angle_alpha 90.00
_cell_angle_beta 90.00
_cell_angle_gamma 90.00
loop_
_atom_site_label
_atom_site_type_symbol
_atom_site_fract_x
_atom_site_fract_y
_atom_site_fract_z
K1 K 0.0000 0.0000 0.0000
Tl1 Tl 0.0000 0.0000 0.5000
Br1 Br 0.2480 0.2500 0.6250